Record 1
Density functional theory data (GGA-PBE) for a geometry-optimized As2Rh2Se structure.

Output
E above lowest polymorph, meV/atom: 87
Raw total energy, eV/atom: -5.514
Formation energy without anion corrections, eV per formula unit: -0.084
Total magnetic moment, Bohr magnetons per cell: 0.00

Unit cell a=3.9726 b=3.9726 c=11.5813 alpha=90.00 beta=90.00 gamma=90.00
With the nearest neighbours (Å) after each atom.
Space group I4/mmm (No. 139)
Unique sites:
As1 0.0000 0.5000 0.2500 x4  4 Rh 2.49
Rh1 0.0000 0.0000 0.1197 x4  4 As 2.49, 1 Rh 2.77
Se1 0.0000 0.0000 0.5000 x2  8 Rh 3.13

***

Record 2
Density functional theory data (GGA-PBE) for a geometry-optimized As3RhSe structure.

Output
E above lowest polymorph, meV/atom: 0
Raw total energy, eV/atom: -4.461
Formation energy without anion corrections, eV per formula unit: 2.478
Total magnetic moment, Bohr magnetons per cell: 0.00

Unit cell a=4.8190 b=4.8190 c=4.8190 alpha=90.00 beta=90.00 gamma=90.00
With the nearest neighbours (Å) after each atom.
Space group Pm-3m (No. 221)
Unique sites:
As1 0.0000 0.0000 0.5000 x3  2 Rh 2.41
Rh1 0.0000 0.0000 0.0000 x1  6 As 2.41
Se1 0.5000 0.5000 0.5000 x1  12 As 3.41

***

Record 3
Density functional theory data (GGA-PBE) for a geometry-optimized AsRhSe4 structure.

Output
E above lowest polymorph, meV/atom: 0
Raw total energy, eV/atom: -4.459
Formation energy without anion corrections, eV per formula unit: -0.815
Total magnetic moment, Bohr magnetons per cell: 0.00

Unit cell a=4.8393 b=4.8925 c=6.2985 alpha=74.48 beta=72.52 gamma=65.81
With the nearest neighbours (Å) after each atom.
Space group P1 (No. 1)
Unique sites:
As1 0.0000 0.0000 0.0000 x1  1 Rh 2.46, 2 Se 2.53-2.59
Rh1 0.1399 0.1164 0.3009 x1  1 As 2.46, 5 Se 2.48-2.65
Se1 0.2515 0.2587 0.6187 x1  1 Rh 2.55, 1 As 2.59, 2 Se 2.68-2.72
Se2 0.4627 0.4016 0.0274 x1  1 Rh 2.50, 1 As 2.53, 1 Se 2.74
Se3 0.6499 0.6269 0.2910 x1  2 Rh 2.64-2.65, 2 Se 2.69-2.74, 1 As 2.91
Se4 0.8294 0.8217 0.5700 x1  1 Rh 2.48, 3 Se 2.68-2.72

***

What did the third record say?
Density functional theory data (GGA-PBE) for a geometry-optimized AsRhSe4 structure.

Output
E above lowest polymorph, meV/atom: 0
Raw total energy, eV/atom: -4.459
Formation energy without anion corrections, eV per formula unit: -0.815
Total magnetic moment, Bohr magnetons per cell: 0.00

Unit cell a=4.8393 b=4.8925 c=6.2985 alpha=74.48 beta=72.52 gamma=65.81
With the nearest neighbours (Å) after each atom.
Space group P1 (No. 1)
Unique sites:
As1 0.0000 0.0000 0.0000 x1  1 Rh 2.46, 2 Se 2.53-2.59
Rh1 0.1399 0.1164 0.3009 x1  1 As 2.46, 5 Se 2.48-2.65
Se1 0.2515 0.2587 0.6187 x1  1 Rh 2.55, 1 As 2.59, 2 Se 2.68-2.72
Se2 0.4627 0.4016 0.0274 x1  1 Rh 2.50, 1 As 2.53, 1 Se 2.74
Se3 0.6499 0.6269 0.2910 x1  2 Rh 2.64-2.65, 2 Se 2.69-2.74, 1 As 2.91
Se4 0.8294 0.8217 0.5700 x1  1 Rh 2.48, 3 Se 2.68-2.72

***

Repeat the third record exactly.
Density functional theory data (GGA-PBE) for a geometry-optimized AsRhSe4 structure.

Output
E above lowest polymorph, meV/atom: 0
Raw total energy, eV/atom: -4.459
Formation energy without anion corrections, eV per formula unit: -0.815
Total magnetic moment, Bohr magnetons per cell: 0.00

Unit cell a=4.8393 b=4.8925 c=6.2985 alpha=74.48 beta=72.52 gamma=65.81
With the nearest neighbours (Å) after each atom.
Space group P1 (No. 1)
Unique sites:
As1 0.0000 0.0000 0.0000 x1  1 Rh 2.46, 2 Se 2.53-2.59
Rh1 0.1399 0.1164 0.3009 x1  1 As 2.46, 5 Se 2.48-2.65
Se1 0.2515 0.2587 0.6187 x1  1 Rh 2.55, 1 As 2.59, 2 Se 2.68-2.72
Se2 0.4627 0.4016 0.0274 x1  1 Rh 2.50, 1 As 2.53, 1 Se 2.74
Se3 0.6499 0.6269 0.2910 x1  2 Rh 2.64-2.65, 2 Se 2.69-2.74, 1 As 2.91
Se4 0.8294 0.8217 0.5700 x1  1 Rh 2.48, 3 Se 2.68-2.72